Record 1
LiH4Pd3: relaxed, PBE-GGA.

Cell: 6.1862 5.1075 4.8154 Å, 90.00 90.00 90.00°
Sites, in units of the cell vectors:
Li1 0.0000 0.1810 0.0000
Li2 0.5000 0.8190 0.5000
H1 0.0000 0.1617 0.5659
H2 0.0000 0.8152 0.1348
H3 0.2330 0.6486 0.6400
H4 0.2670 0.3514 0.1400
H5 0.5000 0.1848 0.6348
H6 0.5000 0.8383 0.0659
H7 0.7330 0.3514 0.1400
H8 0.7670 0.6486 0.6400
Pd1 0.0000 0.8188 0.5068
Pd2 0.2465 0.6795 0.0071
Pd3 0.2535 0.3205 0.5071
Pd4 0.5000 0.1812 0.0068
Pd5 0.7465 0.3205 0.5071
Pd6 0.7535 0.6795 0.0071

Offset from the most stable computed form ... 0.036 eV/atom
Energy ... -4.055 eV per atom
Density of states at the Fermi level ... 4.62 states/eV/cell

Record 2
CsTiN2: relaxed, PBE-GGA.

Cell: 7.9529 7.9529 7.9529 Å, 29.77 29.77 29.77°
Sites, in units of the cell vectors:
Cs1 0.0000 0.0000 0.0000
Ti1 0.5000 0.5000 0.5000
N1 0.4222 0.4222 0.4222
N2 0.5778 0.5778 0.5778

Energy ... -5.456 eV per atom
Density of states at the Fermi level ... 2.72 states/eV/cell

Record 3
TaFeGeTe2Pd: relaxed, PBE-GGA.

Cell: 4.2893 4.2893 8.1002 Å, 95.14 95.14 57.44°
Sites, in units of the cell vectors:
Ta1 0.0000 0.0000 0.0000
Fe1 0.6569 0.6569 0.8963
Ge1 0.3143 0.3143 0.8343
Te1 0.5147 0.5147 0.5825
Te2 0.7009 0.7009 0.2119
Pd1 0.0398 0.0398 0.3539

Offset from the most stable computed form ... 0.079 eV/atom
Energy ... -6.269 eV per atom
Density of states at the Fermi level ... 2.77 states/eV/cell

Record 4
YCr2Si: relaxed, PBE-GGA.

Cell: 3.0485 3.0485 6.8964 Å, 90.00 90.00 90.00°
Sites, in units of the cell vectors:
Y1 0.0000 0.0000 0.0000
Cr1 0.0000 0.0000 0.4932
Cr2 0.5000 0.5000 0.3245
Si1 0.5000 0.5000 0.6925

Energy ... -7.800 eV per atom
Density of states at the Fermi level ... 3.18 states/eV/cell

Record 5
Cu2CF: relaxed, PBE-GGA.

Cell: 5.1995 5.1995 5.1995 Å, 121.46 121.46 87.49°
Sites, in units of the cell vectors:
Cu1 0.0762 0.6250 0.9512
Cu2 0.3750 0.3262 0.4512
Cu3 0.6738 0.1250 0.0488
Cu4 0.8750 0.9238 0.5488
C1 0.0000 0.0000 0.0000
C2 0.7500 0.2500 0.5000
F1 0.2500 0.7500 0.5000
F2 0.5000 0.5000 0.0000

Offset from the most stable computed form ... 0.000 eV/atom
Energy ... -4.640 eV per atom
Density of states at the Fermi level ... 2.25 states/eV/cell

Record 6
MgNi2HgH: relaxed, PBE-GGA.

Cell: 3.8569 3.8569 4.0689 Å, 90.00 90.00 90.00°
Sites, in units of the cell vectors:
Mg1 0.0000 0.0000 0.0000
Ni1 0.0000 0.5000 0.5000
Ni2 0.5000 0.0000 0.5000
Hg1 0.5000 0.5000 0.0000
H1 0.0000 0.0000 0.5000

Energy ... -3.418 eV per atom
Density of states at the Fermi level ... 1.89 states/eV/cell